(1)
Density functional theory data (PBE) for crystalline Re3IF at its relaxed geometry.

a = 4.364 Å, b = 4.364 Å, c = 4.364 Å
α = 90.00°, β = 90.00°, γ = 90.00°
Site moments in Bohr magnetons follow the coordinates.
Fractional coordinates of all 5 atoms:
Re 0.000 0.000 0.500  0.41
Re 0.500 0.000 0.000  0.35
Re 0.000 0.500 0.000  0.39
I 0.500 0.500 0.500  -0.02
F 0.000 0.000 0.000  0.01

Computed properties:
For the uncorrected formation energy, the calculation gives 2.0277 eV/atom. The space-group type is Pm-3m (221). As for the energy above the most stable polymorph in this dataset: 0.0 kJ/mol of atoms. As for the magnetization: 1.3 μB/cell.

***

(2)
Density functional theory data (PBE) for crystalline Ba2MnTeIr at its relaxed geometry.

a = 6.057 Å, b = 6.057 Å, c = 4.901 Å
α = 90.00°, β = 90.00°, γ = 90.00°
Site moments in Bohr magnetons follow the coordinates.
Fractional coordinates of all 5 atoms:
Ba 0.500 0.000 0.000  0.01
Ba 0.000 0.500 0.000  0.01
Ir 0.000 0.000 0.000  0.31
Te 0.500 0.500 0.500  0.05
Mn 0.000 0.000 0.500  4.18

Computed properties:
For the uncorrected formation energy, the calculation gives -0.3615 eV/atom. The space-group type is P4/mmm (123). As for the magnetization: 5.1 μB/cell.

***

(3)
Density functional theory data (PBE) for crystalline Ti2TcSb2 at its relaxed geometry.

a = 7.062 Å, b = 7.062 Å, c = 3.807 Å
α = 90.00°, β = 90.00°, γ = 90.00°
Fractional coordinates of all 10 atoms:
Ti 0.851 0.351 0.500
Ti 0.351 0.149 0.500
Ti 0.649 0.851 0.500
Ti 0.149 0.649 0.500
Sb 0.848 0.652 0.000
Sb 0.152 0.348 0.000
Sb 0.348 0.848 0.000
Sb 0.652 0.152 0.000
Tc 0.500 0.500 0.000
Tc 0.000 0.000 0.000

Computed properties:
For the uncorrected formation energy, the calculation gives -0.1036 eV/atom. The space-group type is P4/mbm (127). As for the magnetization: 0.0 μB/cell.

***

(4)
Density functional theory data (PBE) for crystalline La2Ni4As3P at its relaxed geometry.

a = 4.224 Å, b = 4.224 Å, c = 9.459 Å
α = 90.00°, β = 90.00°, γ = 90.00°
Fractional coordinates of all 10 atoms:
La 0.500 0.000 0.252
La 0.000 0.500 0.748
Ni 0.500 0.500 0.000
Ni 0.000 0.000 0.000
Ni 0.000 0.500 0.390
Ni 0.500 0.000 0.610
As 0.500 0.000 0.870
As 0.000 0.000 0.500
As 0.000 0.500 0.130
P 0.500 0.500 0.500

Computed properties:
The space-group type is P-4m2 (115). The calculation puts the formation energy at -0.91 eV per atom. As for the magnetization: 0.0 μB/cell.

***

(5)
Density functional theory data (PBE) for crystalline La2PuThS4 at its relaxed geometry.

a = 4.062 Å, b = 7.057 Å, c = 7.095 Å
α = 109.30°, β = 90.00°, γ = 90.00°
Site moments in Bohr magnetons follow the coordinates.
Fractional coordinates of all 8 atoms:
La 0.500 0.000 0.500  0.02
La 0.000 0.500 0.500  -0.01
S 0.500 0.242 0.237  -0.04
S 0.000 0.250 0.760  -0.02
S 0.500 0.758 0.763  -0.04
S 0.000 0.750 0.240  -0.02
Pu 0.000 0.000 0.000  5.31
Th 0.500 0.500 0.000  0.03

Computed properties:
For the uncorrected formation energy, the calculation gives -1.9831 eV/atom. The space-group type is P2/m (10). As for the magnetization: 5.6 μB/cell.

***

(6)
Density functional theory data (PBE) for crystalline Rb3Cd2Sn2 at its relaxed geometry.

a = 7.338 Å, b = 9.411 Å, c = 16.235 Å
α = 90.00°, β = 90.00°, γ = 90.00°
Site moments in Bohr magnetons follow the coordinates.
Fractional coordinates of all 28 atoms:
Cd 0.613 0.033 0.904  0.00
Cd 0.387 0.533 0.904  0.00
Cd 0.387 0.967 0.404  0.00
Cd 0.387 0.967 0.096  0.00
Cd 0.387 0.533 0.596  0.00
Cd 0.613 0.467 0.404  0.00
Cd 0.613 0.467 0.096  0.00
Cd 0.613 0.033 0.596  0.00
Sn 0.400 0.250 0.000  0.04
Sn 0.194 0.593 0.750  0.20
Sn 0.600 0.750 0.000  0.04
Sn 0.400 0.250 0.500  0.04
Sn 0.600 0.750 0.500  0.04
Sn 0.806 0.407 0.250  0.20
Sn 0.194 0.907 0.250  0.20
Sn 0.806 0.093 0.750  0.20
Rb 0.118 0.891 0.602  0.01
Rb 0.323 0.275 0.250  0.01
Rb 0.118 0.891 0.898  0.01
Rb 0.118 0.609 0.398  0.01
Rb 0.882 0.391 0.602  0.01
Rb 0.677 0.725 0.750  0.01
Rb 0.882 0.109 0.102  0.01
Rb 0.677 0.775 0.250  0.01
Rb 0.882 0.109 0.398  0.01
Rb 0.118 0.609 0.102  0.01
Rb 0.323 0.225 0.750  0.01
Rb 0.882 0.391 0.898  0.01

Computed properties:
The space-group type is Pbcm (57). The calculation puts the formation energy at -0.12 eV per atom. As for the magnetization: 2.9 μB/cell.

***

(7)
Density functional theory data (PBE) for crystalline NaLuCdIn at its relaxed geometry.

a = 5.203 Å, b = 5.203 Å, c = 5.203 Å
α = 60.00°, β = 60.00°, γ = 60.00°
Fractional coordinates of all 4 atoms:
Cd 0.750 0.750 0.750
Na 0.000 0.000 0.000
Lu 0.500 0.500 0.500
In 0.250 0.250 0.250

Computed properties:
The space-group type is F-43m (216). The calculation puts the formation energy at -0.18 eV per atom. As for the magnetization: 0.0 μB/cell.

***

(8)
Density functional theory data (PBE) for crystalline Li2NdPuGe2 at its relaxed geometry.

a = 4.507 Å, b = 4.507 Å, c = 7.256 Å
α = 90.00°, β = 90.00°, γ = 120.00°
Site moments in Bohr magnetons follow the coordinates.
Fractional coordinates of all 6 atoms:
Ge 0.333 0.667 0.232  -0.10
Ge 0.667 0.333 0.768  -0.10
Li 0.333 0.667 0.775  0.00
Li 0.667 0.333 0.225  0.00
Nd 0.000 0.000 0.500  0.03
Pu 0.000 0.000 0.000  5.19

Computed properties:
The space-group type is P-3m1 (164). The calculation puts the formation energy at -0.48 eV per atom. As for the magnetization: 5.1 μB/cell.

***

(9)
Density functional theory data (PBE) for crystalline Hf5TiGa4 at its relaxed geometry.

a = 3.366 Å, b = 7.748 Å, c = 7.803 Å
α = 80.97°, β = 102.45°, γ = 90.00°
Fractional coordinates of all 10 atoms:
Hf 0.199 0.384 0.398
Hf 0.136 0.785 0.273
Hf 0.801 0.616 0.602
Hf 0.500 0.500 0.000
Hf 0.864 0.215 0.727
Ga 0.050 0.218 0.099
Ga 0.317 0.929 0.634
Ga 0.683 0.071 0.366
Ga 0.950 0.782 0.901
Ti 0.500 0.000 0.000

Computed properties:
The space-group type is C2/m (12). The calculation puts the formation energy at -0.18 eV per atom. As for the magnetization: 0.0 μB/cell.

***

(10)
Density functional theory data (PBE) for crystalline LiReSb2 at its relaxed geometry.

a = 7.948 Å, b = 7.948 Å, c = 7.948 Å
α = 155.94°, β = 155.04°, γ = 34.95°
Fractional coordinates of all 4 atoms:
Re 0.202 0.702 0.500
Sb 0.063 0.063 0.000
Sb 0.792 0.292 0.500
Li 0.444 0.444 0.000

Computed properties:
For the uncorrected formation energy, the calculation gives 0.1490 eV/atom. The space-group type is Imm2 (44). As for the energy above the most stable polymorph in this dataset: 10.9 kJ/mol of atoms. As for the magnetization: 0.0 μB/cell.

***

(11)
Density functional theory data (PBE) for crystalline KZnInRe2 at its relaxed geometry.

a = 4.728 Å, b = 5.355 Å, c = 4.728 Å
α = 90.00°, β = 90.00°, γ = 90.00°
Site moments in Bohr magnetons follow the coordinates.
Fractional coordinates of all 5 atoms:
Re 0.500 0.000 0.000  1.34
Re 0.000 0.000 0.500  1.17
K 0.000 0.000 0.000  0.03
Zn 0.500 0.500 0.500  -0.02
In 0.000 0.500 0.000  -0.02

Computed properties:
The space-group type is P4/mmm (123). The calculation puts the formation energy at 3.24 eV per atom. As for the magnetization: 2.8 μB/cell.

***

(12)
Density functional theory data (PBE) for crystalline Li2NiP at its relaxed geometry.

a = 3.828 Å, b = 3.828 Å, c = 4.697 Å
α = 65.91°, β = 65.91°, γ = 59.98°
Fractional coordinates of all 4 atoms:
Ni 0.541 0.541 0.376
Li 0.765 0.765 0.706
Li 0.987 0.987 0.041
P 0.208 0.208 0.377

Computed properties:
The space-group type is R3m (160). The calculation puts the formation energy at -0.59 eV per atom. As for the magnetization: 0.0 μB/cell.